No. 1
Crystalline InAg2Pb at its relaxed geometry, computed with GGA-PBEsol.

The structure in CIF format:
```
data_InAg2Pb
_cell_length_a 3.434
_cell_length_b 4.635
_cell_length_c 5.683
_cell_angle_alpha 90.00
_cell_angle_beta 107.64
_cell_angle_gamma 90.00
_space_group_name_H-M_alt 'P 1'
_space_group_IT_number 1
loop_
_space_group_symop_operation_xyz
'x,y,z'
loop_
_atom_site_label
_atom_site_fract_x
_atom_site_fract_y
_atom_site_fract_z
Pb1 0.220 0.500 0.818
Ag1 0.800 0.000 0.975
Ag2 0.955 0.500 0.283
In1 0.526 0.000 0.424
```

Summary:
The calculation puts the theoretical density at 10.4 g/cm3. Its density of states at the Fermi level is 1.4 states/eV per cell. The space-group type is Pm (6). As for the formation enthalpy at 0 K: 0.035 eV per atom.

---

No. 2
Crystalline Be2CoPt at its relaxed geometry, computed with GGA-PBEsol.

The structure in CIF format:
```
data_Be2CoPt
_cell_length_a 3.811
_cell_length_b 3.811
_cell_length_c 3.811
_cell_angle_alpha 60.00
_cell_angle_beta 60.00
_cell_angle_gamma 60.00
_space_group_name_H-M_alt 'P 1'
_space_group_IT_number 1
loop_
_space_group_symop_operation_xyz
'x,y,z'
loop_
_atom_site_label
_atom_site_fract_x
_atom_site_fract_y
_atom_site_fract_z
Be1 0.250 0.250 0.250
Be2 0.750 0.750 0.750
Co1 0.000 0.000 0.000
Pt1 0.500 0.500 0.500
```

Summary:
The calculation puts the theoretical density at 11.5 g/cm3. The relative energy among the computed polymorphs comes out at 0.00 eV per formula unit. Its density of states at the Fermi level is 1.4 states/eV per cell. The space-group type is Fm-3m (225). As for the formation enthalpy at 0 K: -0.609 eV per atom.

---

No. 3
Crystalline TaIrOs at its relaxed geometry, computed with GGA-PBEsol.

The structure in CIF format:
```
data_TaIrOs
_cell_length_a 2.756
_cell_length_b 3.898
_cell_length_c 4.858
_cell_angle_alpha 113.65
_cell_angle_beta 106.48
_cell_angle_gamma 90.00
_space_group_name_H-M_alt 'P 1'
_space_group_IT_number 1
loop_
_space_group_symop_operation_xyz
'x,y,z'
loop_
_atom_site_label
_atom_site_fract_x
_atom_site_fract_y
_atom_site_fract_z
Ir1 0.005 0.005 0.010
Os1 0.663 0.663 0.325
Ta1 0.332 0.332 0.665
```

Summary:
The calculation puts the theoretical density at 20.6 g/cm3. The relative energy among the computed polymorphs comes out at 0.00 eV per formula unit. Its density of states at the Fermi level is 3.7 states/eV per cell. The space-group type is Imm2 (44). As for the formation enthalpy at 0 K: -0.188 eV per atom.

---

No. 4
Crystalline Sr2CoCl2O2 at its relaxed geometry, computed with GGA-PBEsol.

The structure in CIF format:
```
data_Sr2CoCl2O2
_cell_length_a 5.491
_cell_length_b 10.060
_cell_length_c 10.060
_cell_angle_alpha 104.84
_cell_angle_beta 105.84
_cell_angle_gamma 105.84
_space_group_name_H-M_alt 'P 1'
_space_group_IT_number 1
loop_
_space_group_symop_operation_xyz
'x,y,z'
loop_
_atom_site_label
_atom_site_fract_x
_atom_site_fract_y
_atom_site_fract_z
Sr1 0.754 0.146 0.362
Sr2 0.500 0.392 0.608
Sr3 0.246 0.638 0.854
Sr4 0.000 0.894 0.106
Sr5 0.000 0.106 0.894
Sr6 0.754 0.362 0.146
Sr7 0.500 0.608 0.392
Sr8 0.246 0.854 0.638
Co1 0.500 0.000 0.000
Co2 0.253 0.253 0.253
Co3 0.000 0.500 0.500
Co4 0.747 0.747 0.747
O1 0.374 0.130 0.130
O2 0.129 0.375 0.375
O3 0.871 0.625 0.625
O4 0.626 0.870 0.870
O5 0.113 0.870 0.870
O6 0.887 0.130 0.130
O7 0.622 0.375 0.375
O8 0.378 0.625 0.625
Cl1 0.000 0.309 0.691
Cl2 0.745 0.556 0.934
Cl3 0.500 0.833 0.167
Cl4 0.255 0.066 0.444
Cl5 0.745 0.934 0.556
Cl6 0.500 0.167 0.833
Cl7 0.255 0.444 0.066
Cl8 0.000 0.691 0.309
```

Summary:
The calculation puts the theoretical density at 4.7 g/cm3. The relative energy among the computed polymorphs comes out at 0.00 eV per formula unit. As for the uncorrected formation energy: -14.696 eV/f.u. Its density of states at the Fermi level is 10.0 states/eV per cell. The space-group type is Immm (71).

---

No. 5
Crystalline V6O11 at its relaxed geometry, computed with GGA-PBEsol.

The structure in CIF format:
```
data_V6O11
_cell_length_a 5.413
_cell_length_b 6.988
_cell_length_c 9.522
_cell_angle_alpha 90.23
_cell_angle_beta 79.23
_cell_angle_gamma 70.72
_space_group_name_H-M_alt 'P 1'
_space_group_IT_number 1
loop_
_space_group_symop_operation_xyz
'x,y,z'
loop_
_atom_site_label
_atom_site_fract_x
_atom_site_fract_y
_atom_site_fract_z
V1 0.766 0.638 0.585
V2 0.234 0.362 0.415
V3 0.679 0.084 0.245
V4 0.321 0.916 0.755
V5 0.225 0.861 0.416
V6 0.775 0.139 0.584
V7 0.688 0.578 0.240
V8 0.312 0.422 0.760
V9 0.178 0.806 0.063
V10 0.822 0.194 0.937
V11 0.169 0.307 0.067
V12 0.831 0.693 0.933
O1 0.130 0.980 0.610
O2 0.870 0.020 0.390
O3 0.641 0.925 0.651
O4 0.359 0.075 0.349
O5 0.902 0.356 0.528
O6 0.098 0.644 0.472
O7 0.944 0.575 0.751
O8 0.056 0.425 0.249
O9 0.213 0.541 0.968
O10 0.787 0.459 0.032
O11 0.813 0.802 0.147
O12 0.187 0.198 0.853
O13 0.591 0.699 0.426
O14 0.409 0.301 0.574
O15 0.334 0.743 0.214
O16 0.666 0.257 0.786
O17 0.013 0.096 0.110
O18 0.987 0.904 0.890
O19 0.436 0.635 0.704
O20 0.564 0.365 0.296
O21 0.479 0.819 0.934
O22 0.521 0.181 0.066
```

Summary:
The calculation puts the theoretical density at 4.8 g/cm3. The relative energy among the computed polymorphs comes out at 0.00 eV per formula unit. As for the uncorrected formation energy: -40.549 eV/f.u. Its density of states at the Fermi level is 16.1 states/eV per cell. The space-group type is P-1 (2).

---

No. 6
Crystalline TiCr3Ga at its relaxed geometry, computed with GGA-PBEsol.

The structure in CIF format:
```
data_TiCr3Ga
_cell_length_a 4.223
_cell_length_b 4.223
_cell_length_c 4.223
_cell_angle_alpha 90.00
_cell_angle_beta 90.00
_cell_angle_gamma 90.00
_space_group_name_H-M_alt 'P 1'
_space_group_IT_number 1
loop_
_space_group_symop_operation_xyz
'x,y,z'
loop_
_atom_site_label
_atom_site_fract_x
_atom_site_fract_y
_atom_site_fract_z
Cr1 0.000 0.500 0.000
Cr2 0.000 0.000 0.500
Cr3 0.500 0.000 0.000
Ga1 0.500 0.500 0.500
Ti1 0.000 0.000 0.000
```

Summary:
The calculation puts the theoretical density at 6.0 g/cm3. Its density of states at the Fermi level is 6.3 states/eV per cell. The space-group type is Pm-3m (221). As for the formation enthalpy at 0 K: 1.453 eV per atom.

---

No. 7
Crystalline KHIr3 at its relaxed geometry, computed with GGA-PBEsol.

The structure in CIF format:
```
data_KHIr3
_cell_length_a 4.064
_cell_length_b 4.064
_cell_length_c 4.064
_cell_angle_alpha 90.00
_cell_angle_beta 90.00
_cell_angle_gamma 90.00
_space_group_name_H-M_alt 'P 1'
_space_group_IT_number 1
loop_
_space_group_symop_operation_xyz
'x,y,z'
loop_
_atom_site_label
_atom_site_fract_x
_atom_site_fract_y
_atom_site_fract_z
H1 0.000 0.000 0.000
K1 0.500 0.500 0.500
Ir1 0.000 0.500 0.000
Ir2 0.000 0.000 0.500
Ir3 0.500 0.000 0.000
```

Summary:
The calculation puts the theoretical density at 15.3 g/cm3. As for the electronic total energy: -5.795 eV/atom. Its density of states at the Fermi level is 5.6 states/eV per cell. The space-group type is Pm-3m (221).

---

No. 8
Crystalline Nb3CrS6 at its relaxed geometry, computed with GGA-PBEsol.

The structure in CIF format:
```
data_Nb3CrS6
_cell_length_a 5.724
_cell_length_b 5.724
_cell_length_c 11.893
_cell_angle_alpha 90.00
_cell_angle_beta 90.00
_cell_angle_gamma 120.00
_space_group_name_H-M_alt 'P 1'
_space_group_IT_number 1
loop_
_space_group_symop_operation_xyz
'x,y,z'
loop_
_atom_site_label
_atom_site_fract_x
_atom_site_fract_y
_atom_site_fract_z
Nb1 0.000 0.000 0.000
Nb2 0.000 0.000 0.500
Nb3 0.333 0.667 0.502
Nb4 0.667 0.333 0.498
Nb5 0.667 0.333 0.002
Nb6 0.333 0.667 0.998
Cr1 0.333 0.667 0.250
Cr2 0.667 0.333 0.750
S1 0.668 0.668 0.133
S2 0.000 0.332 0.133
S3 0.332 0.000 0.133
S4 0.668 0.668 0.867
S5 0.332 0.000 0.867
S6 0.000 0.332 0.867
S7 0.332 0.332 0.633
S8 0.000 0.668 0.633
S9 0.668 0.000 0.633
S10 0.332 0.332 0.367
S11 0.668 0.000 0.367
S12 0.000 0.668 0.367
```

Summary:
The calculation puts the theoretical density at 5.1 g/cm3. As for the uncorrected formation energy: -11.657 eV/f.u. Its density of states at the Fermi level is 3.2 states/eV per cell. The space-group type is P6_322 (182).